DFT (PBE) results for an optimized crystal structure of LiY5Cd6.

```
LiY5Cd6
1.0
-2.613 3.717 7.825
2.613 -3.717 7.825
2.613 3.717 -7.825
Li Y Cd
1 5 6
Cartesian
0.000 0.000 0.000 Li
2.613 0.000 2.684 Y
0.000 0.000 5.244 Y
0.000 3.717 0.000 Y
0.000 0.000 10.406 Y
0.000 3.717 5.141 Y
2.613 -1.978 5.344 Cd
2.613 1.706 0.000 Cd
0.000 1.739 2.481 Cd
2.613 1.978 5.344 Cd
0.000 2.011 7.825 Cd
0.000 5.695 2.481 Cd
```

Its total energy is -3.63 eV per atom. The energy of formation from the pure elements comes out at -324.6 meV per atom. The value obtained for the density of states at the Fermi level is 0.83 states/eV/atom. The space-group type is Immm (71). As for the total magnetization: 0.00 Bohr magnetons per cell.

---

DFT (PBE) results for an optimized crystal structure of MnP4.

```
MnP4
1.0
5.104 0.000 0.000
2.491 5.269 0.000
2.202 -0.472 5.435
Mn P
2 8
Cartesian
1.867 1.739 1.525 Mn
7.931 3.059 3.910 Mn
4.349 4.640 4.389 P
3.403 3.341 1.727 P
4.333 1.453 4.598 P
3.364 0.113 1.715 P
6.433 4.684 3.720 P
5.464 3.344 0.837 P
6.394 1.456 3.708 P
5.448 0.157 1.045 P
```

Its total energy is -6.51 eV per atom. The energy of formation from the pure elements comes out at -348.8 meV per atom. The value obtained for the density of states at the Fermi level is 0.00 states/eV/atom. The space-group type is P-1 (2). As for the total magnetization: 0.00 Bohr magnetons per cell.

---

What is the formula in the first record? LiY5Cd6

---

total energy of number 1 (LiY5Cd6)? -3.63 eV per atom